# Mn2GaReSe (PBE, relaxed)
# Mass density = 9.270 Mg/m³
# E_form (uncorrected) = 0.9 eV/f.u.
data_Mn2GaReSe
_symmetry_space_group_name_H-M 'P 1'
_symmetry_Int_Tables_number 1
_symmetry_space_group_name_Hall 'P 1'
_cell_length_a 3.010
_cell_length_b 4.652
_cell_length_c 6.096
_cell_angle_alpha 99.06
_cell_angle_beta 90.10
_cell_angle_gamma 108.80
loop_
_atom_site_label
_atom_site_type_symbol
_atom_site_fract_x
_atom_site_fract_y
_atom_site_fract_z
Mn1 Mn 0.000 0.000 0.000
Mn2 Mn 0.394 0.788 0.633
Ga1 Ga 0.087 0.176 0.435
Re1 Re 0.689 0.377 0.787
Se1 Se 0.293 0.585 0.110